1.
LaIrPb2O8 | PBE | optimized geometry

Energy relative to the elements, uncorrected   -1290 meV/atom
Spin magnetization   1.4 μB per formula unit
Electronic total energy   -6.36 eV/atom
D(E_F)   5.590 states/eV/cell

a = 5.053 Å, b = 6.953 Å, c = 5.056 Å
α = 90.00°, β = 91.20°, γ = 90.00°
Space group P2/m (No. 10)
One atom of each set of equivalent atoms:
La  0.000  0.000  0.000 (multiplicity 1)
Ir  0.000  0.500  0.000 (multiplicity 1)
Pb  0.500  0.258  0.500 (multiplicity 2)
O  0.205  0.290  0.169 (multiplicity 4)
O  0.252  0.500  0.708 (multiplicity 2)
O  0.298  0.000  0.659 (multiplicity 2)

---

2.
AlFeAg2 | PBE | optimized geometry

Spin magnetization   2.5 μB per formula unit
Electronic total energy   -4.34 eV/atom
D(E_F)   4.689 states/eV/cell
Energy of formation from the pure elements   0.14 eV per atom

a = 9.430 Å, b = 2.825 Å, c = 4.885 Å
α = 90.00°, β = 105.19°, γ = 90.00°
Space group Cm (No. 8)
One atom of each set of equivalent atoms:
Al  0.000  0.000  0.000 (multiplicity 2)
Fe  0.274  0.000  0.771 (multiplicity 2)
Ag  0.016  0.500  0.522 (multiplicity 2)
Ag  0.248  0.500  0.250 (multiplicity 2)

---

3.
Tb4Nd6Er | PBE | optimized geometry

Spin magnetization   0.0 μB per formula unit
Distance to the lowest polymorph of the same formula   0.00 eV per formula unit
Electronic total energy   -4.42 eV/atom
D(E_F)   34.486 states/eV/cell
Energy of formation from the pure elements   0.28 eV per atom

a = 6.603 Å, b = 6.603 Å, c = 17.546 Å
α = 90.00°, β = 90.00°, γ = 90.00°
Space group I-42m (No. 121)
One atom of each set of equivalent atoms:
Tb  0.186  0.186  0.325 (multiplicity 8)
Nd  0.000  0.500  0.000 (multiplicity 4)
Nd  0.179  0.179  0.135 (multiplicity 8)
Er  0.000  0.000  0.500 (multiplicity 2)

---

4.
RbYMg6O8 | PBE | optimized geometry

Energy relative to the elements, uncorrected   -2302 meV/atom
Spin magnetization   0.0 μB per formula unit
Distance to the lowest polymorph of the same formula   0.00 eV per formula unit
Electronic total energy   -5.84 eV/atom

a = 4.648 Å, b = 4.648 Å, c = 8.965 Å
α = 90.00°, β = 90.00°, γ = 90.00°
Space group P4/mmm (No. 123)
One atom of each set of equivalent atoms:
Rb  0.000  0.000  0.000 (multiplicity 1)
Y  0.500  0.500  0.000 (multiplicity 1)
Mg  0.000  0.000  0.500 (multiplicity 1)
Mg  0.000  0.500  0.270 (multiplicity 4)
Mg  0.500  0.500  0.500 (multiplicity 1)
O  0.000  0.000  0.284 (multiplicity 2)
O  0.000  0.500  0.000 (multiplicity 2)
O  0.000  0.500  0.500 (multiplicity 2)
O  0.500  0.500  0.262 (multiplicity 2)

---

5.
Ba3Si2Ge | PBE | optimized geometry

Energy relative to the elements, uncorrected   -346 meV/atom
Spin magnetization   0.0 μB per formula unit
Electronic total energy   -3.88 eV/atom
D(E_F)   9.901 states/eV/cell

a = 8.302 Å, b = 9.817 Å, c = 10.346 Å
α = 90.00°, β = 92.83°, γ = 90.00°
Space group P2_1/c (No. 14)
One atom of each set of equivalent atoms:
Ba  0.165  0.162  0.135 (multiplicity 4)
Ba  0.238  0.567  0.942 (multiplicity 4)
Ba  0.331  0.548  0.324 (multiplicity 4)
Si  0.061  0.700  0.643 (multiplicity 4)
Si  0.438  0.218  0.417 (multiplicity 4)
Ge  0.344  0.647  0.642 (multiplicity 4)

---

6.
Tb3HoSe4 | PBE | optimized geometry

Energy relative to the elements, uncorrected   -1762 meV/atom
Spin magnetization   0.0 μB per formula unit
Distance to the lowest polymorph of the same formula   0.00 eV per formula unit
Electronic total energy   -5.81 eV/atom
D(E_F)   7.123 states/eV/cell

a = 7.110 Å, b = 8.083 Å, c = 7.102 Å
α = 90.00°, β = 109.22°, γ = 90.00°
Space group P2/c (No. 13)
One atom of each set of equivalent atoms:
Tb  0.000  0.124  0.250 (multiplicity 2)
Tb  0.000  0.374  0.750 (multiplicity 2)
Tb  0.500  0.125  0.750 (multiplicity 2)
Ho  0.500  0.374  0.250 (multiplicity 2)
Se  0.251  0.126  0.001 (multiplicity 4)
Se  0.253  0.376  0.500 (multiplicity 4)

---

7.
Pr5DyEr4 | PBE | optimized geometry

Spin magnetization   0.0 μB per formula unit
Distance to the lowest polymorph of the same formula   1.19 eV per formula unit
Electronic total energy   -4.54 eV/atom
D(E_F)   31.321 states/eV/cell
Energy of formation from the pure elements   0.14 eV per atom

a = 18.301 Å, b = 3.598 Å, c = 10.552 Å
α = 90.00°, β = 96.26°, γ = 90.00°
Space group C2/m (No. 12)
One atom of each set of equivalent atoms:
Pr  0.000  0.000  0.000 (multiplicity 2)
Pr  0.141  0.500  0.727 (multiplicity 4)
Pr  0.190  0.500  0.101 (multiplicity 4)
Dy  0.000  0.000  0.500 (multiplicity 2)
Er  0.046  0.500  0.265 (multiplicity 4)
Er  0.182  0.000  0.415 (multiplicity 4)

---

8.
CaFe2Ag | PBE | optimized geometry

Spin magnetization   5.1 μB per formula unit
Electronic total energy   -4.70 eV/atom
D(E_F)   16.185 states/eV/cell
Energy of formation from the pure elements   0.75 eV per atom

a = 2.9211 Å, b = 2.9211 Å, c = 28.3106 Å
α = 90.00°, β = 90.00°, γ = 120.00°
Space group R-3m (No. 166, hexagonal axes)
One atom of each set of equivalent atoms:
Ca  0.0000  0.0000  0.0000 (multiplicity 3)
Fe  0.0000  0.0000  0.2454 (multiplicity 6)
Ag  0.0000  0.0000  0.5000 (multiplicity 3)